(i)
A geometry-optimized KCrRh2 structure. Source: the Alexandria database, functional PBE.

Total magnetization (μB per cell): 2.709
Symmetry: C2/m (12)

The structure in CIF format:
```
data_KCrRh2
_chemical_formula_sum 'K1 Cr1 Rh2'
_symmetry_space_group_name_H-M 'P 1'
_symmetry_Int_Tables_number 1
_symmetry_space_group_name_Hall 'P 1'
_cell_length_a 4.334
_cell_length_b 4.334
_cell_length_c 7.256
_cell_angle_alpha 84.54
_cell_angle_beta 84.54
_cell_angle_gamma 37.94
loop_
_atom_site_label
_atom_site_fract_x
_atom_site_fract_y
_atom_site_fract_z
Rh1 0.477 0.477 0.598
Rh2 0.023 0.023 0.902
Cr1 0.750 0.750 0.750
K1 0.250 0.250 0.250
```



(ii)
A geometry-optimized KCrRh2 structure. Source: the Alexandria database, functional PBE.

Total magnetization (μB per cell): 2.892
Symmetry: Pmm2 (25)

The structure in CIF format:
```
data_KCrRh2
_chemical_formula_sum 'K1 Cr1 Rh2'
_symmetry_space_group_name_H-M 'P 1'
_symmetry_Int_Tables_number 1
_symmetry_space_group_name_Hall 'P 1'
_cell_length_a 2.793
_cell_length_b 3.851
_cell_length_c 7.520
_cell_angle_alpha 90.00
_cell_angle_beta 90.00
_cell_angle_gamma 90.00
loop_
_atom_site_label
_atom_site_fract_x
_atom_site_fract_y
_atom_site_fract_z
Rh1 0.000 0.000 0.075
Rh2 0.500 0.500 0.269
Cr1 0.000 0.000 0.395
K1 0.500 0.500 0.761
```



(iii)
A geometry-optimized KCrRh2 structure. Source: the Alexandria database, functional PBE.

Total magnetization (μB per cell): 0.000
Symmetry: Fm-3m (225)

The structure in CIF format:
```
data_KCrRh2
_chemical_formula_sum 'K1 Cr1 Rh2'
_symmetry_space_group_name_H-M 'P 1'
_symmetry_Int_Tables_number 1
_symmetry_space_group_name_Hall 'P 1'
_cell_length_a 4.515
_cell_length_b 4.515
_cell_length_c 4.515
_cell_angle_alpha 60.00
_cell_angle_beta 60.00
_cell_angle_gamma 60.00
loop_
_atom_site_label
_atom_site_fract_x
_atom_site_fract_y
_atom_site_fract_z
Rh1 0.250 0.250 0.250
Rh2 0.750 0.750 0.750
Cr1 0.500 0.500 0.500
K1 0.000 0.000 0.000
```



(iv)
A geometry-optimized KCrRh2 structure. Source: the Alexandria database, functional PBE.

Total magnetization (μB per cell): 3.058
Symmetry: I-4m2 (119)

The structure in CIF format:
```
data_KCrRh2
_chemical_formula_sum 'K1 Cr1 Rh2'
_symmetry_space_group_name_H-M 'P 1'
_symmetry_Int_Tables_number 1
_symmetry_space_group_name_Hall 'P 1'
_cell_length_a 4.979
_cell_length_b 4.979
_cell_length_c 4.979
_cell_angle_alpha 129.67
_cell_angle_beta 129.67
_cell_angle_gamma 73.93
loop_
_atom_site_label
_atom_site_fract_x
_atom_site_fract_y
_atom_site_fract_z
K1 0.750 0.250 0.500
Rh1 0.000 0.000 0.000
Rh2 0.250 0.750 0.500
Cr1 0.500 0.500 0.000
```



Most stable structure - (i); separation to the second - 0.073 eV/atom.



(i)
A geometry-optimized KCrRh structure. Source: the Alexandria database, functional PBE.

Total magnetization (μB per cell): 4.217
Symmetry: P-6m2 (187)

The structure in CIF format:
```
data_KCrRh
_chemical_formula_sum 'K1 Cr1 Rh1'
_symmetry_space_group_name_H-M 'P 1'
_symmetry_Int_Tables_number 1
_symmetry_space_group_name_Hall 'P 1'
_cell_length_a 4.827
_cell_length_b 4.827
_cell_length_c 3.105
_cell_angle_alpha 90.00
_cell_angle_beta 90.00
_cell_angle_gamma 120.00
loop_
_atom_site_label
_atom_site_fract_x
_atom_site_fract_y
_atom_site_fract_z
K1 0.667 0.333 0.333
Rh1 0.333 0.667 0.833
Cr1 0.000 0.000 0.834
```



(ii)
A geometry-optimized KCrRh structure. Source: the Alexandria database, functional PBE.

Total magnetization (μB per cell): 4.002
Symmetry: F-43m (216)

The structure in CIF format:
```
data_KCrRh
_chemical_formula_sum 'K1 Cr1 Rh1'
_symmetry_space_group_name_H-M 'P 1'
_symmetry_Int_Tables_number 1
_symmetry_space_group_name_Hall 'P 1'
_cell_length_a 4.677
_cell_length_b 4.677
_cell_length_c 4.677
_cell_angle_alpha 60.00
_cell_angle_beta 60.00
_cell_angle_gamma 60.00
loop_
_atom_site_label
_atom_site_fract_x
_atom_site_fract_y
_atom_site_fract_z
Rh1 0.750 0.750 0.750
K1 0.500 0.500 0.500
Cr1 0.000 0.000 0.000
```



(iii)
A geometry-optimized KCrRh structure. Source: the Alexandria database, functional PBE.

Total magnetization (μB per cell): 0.000
Symmetry: P3m1 (156)

The structure in CIF format:
```
data_KCrRh
_chemical_formula_sum 'K1 Cr1 Rh1'
_symmetry_space_group_name_H-M 'P 1'
_symmetry_Int_Tables_number 1
_symmetry_space_group_name_Hall 'P 1'
_cell_length_a 2.832
_cell_length_b 2.832
_cell_length_c 7.793
_cell_angle_alpha 90.00
_cell_angle_beta 90.00
_cell_angle_gamma 120.00
loop_
_atom_site_label
_atom_site_fract_x
_atom_site_fract_y
_atom_site_fract_z
K1 0.667 0.333 0.339
Cr1 0.000 0.000 0.950
Rh1 0.333 0.667 0.710
```



Most stable structure - (iii); separation to the second - 0.140 eV/atom.



(i)
A geometry-optimized K2CrRh structure. Source: the Alexandria database, functional PBE.

Total magnetization (μB per cell): 4.510
Symmetry: I4/mmm (139)

The structure in CIF format:
```
data_K2CrRh
_chemical_formula_sum 'K2 Cr1 Rh1'
_symmetry_space_group_name_H-M 'P 1'
_symmetry_Int_Tables_number 1
_symmetry_space_group_name_Hall 'P 1'
_cell_length_a 6.188
_cell_length_b 6.188
_cell_length_c 6.188
_cell_angle_alpha 139.87
_cell_angle_beta 139.87
_cell_angle_gamma 58.06
loop_
_atom_site_label
_atom_site_fract_x
_atom_site_fract_y
_atom_site_fract_z
K1 0.000 0.000 0.000
K2 0.500 0.500 0.000
Cr1 0.750 0.250 0.500
Rh1 0.250 0.750 0.500
```



(ii)
A geometry-optimized K2CrRh structure. Source: the Alexandria database, functional PBE.

Total magnetization (μB per cell): 4.156
Symmetry: R-3m (166)

The structure in CIF format:
```
data_K2CrRh
_chemical_formula_sum 'K2 Cr1 Rh1'
_symmetry_space_group_name_H-M 'P 1'
_symmetry_Int_Tables_number 1
_symmetry_space_group_name_Hall 'P 1'
_cell_length_a 11.571
_cell_length_b 11.571
_cell_length_c 11.571
_cell_angle_alpha 15.72
_cell_angle_beta 15.72
_cell_angle_gamma 15.72
loop_
_atom_site_label
_atom_site_fract_x
_atom_site_fract_y
_atom_site_fract_z
Cr1 0.750 0.750 0.750
K1 0.991 0.991 0.991
K2 0.509 0.509 0.509
Rh1 0.250 0.250 0.250
```



Most stable structure - (i); separation to the second - 0.125 eV/atom.



(i)
A geometry-optimized KCr2Ru structure. Source: the Alexandria database, functional PBE.

Total magnetization (μB per cell): 0.000
Symmetry: R3m (160)

The structure in CIF format:
```
data_KCr2Ru
_chemical_formula_sum 'K1 Cr2 Ru1'
_symmetry_space_group_name_H-M 'P 1'
_symmetry_Int_Tables_number 1
_symmetry_space_group_name_Hall 'P 1'
_cell_length_a 9.663
_cell_length_b 9.663
_cell_length_c 9.663
_cell_angle_alpha 16.94
_cell_angle_beta 16.94
_cell_angle_gamma 16.94
loop_
_atom_site_label
_atom_site_fract_x
_atom_site_fract_y
_atom_site_fract_z
Ru1 0.731 0.731 0.731
K1 0.499 0.499 0.499
Cr1 0.274 0.274 0.274
Cr2 0.996 0.996 0.996
```



(ii)
A geometry-optimized KCr2Ru structure. Source: the Alexandria database, functional PBE.

Total magnetization (μB per cell): 1.788
Symmetry: Pmmm (47)

The structure in CIF format:
```
data_KCr2Ru
_chemical_formula_sum 'K1 Cr2 Ru1'
_symmetry_space_group_name_H-M 'P 1'
_symmetry_Int_Tables_number 1
_symmetry_space_group_name_Hall 'P 1'
_cell_length_a 3.015
_cell_length_b 5.039
_cell_length_c 4.799
_cell_angle_alpha 90.00
_cell_angle_beta 90.00
_cell_angle_gamma 90.00
loop_
_atom_site_label
_atom_site_fract_x
_atom_site_fract_y
_atom_site_fract_z
K1 0.500 0.000 0.500
Ru1 0.000 0.500 0.500
Cr1 0.000 0.000 0.000
Cr2 0.500 0.500 0.000
```



(iii)
A geometry-optimized KCr2Ru structure. Source: the Alexandria database, functional PBE.

Total magnetization (μB per cell): 0.623
Symmetry: C2/m (12)

The structure in CIF format:
```
data_KCr2Ru
_chemical_formula_sum 'K1 Cr2 Ru1'
_symmetry_space_group_name_H-M 'P 1'
_symmetry_Int_Tables_number 1
_symmetry_space_group_name_Hall 'P 1'
_cell_length_a 4.672
_cell_length_b 4.672
_cell_length_c 6.741
_cell_angle_alpha 86.28
_cell_angle_beta 86.28
_cell_angle_gamma 36.00
loop_
_atom_site_label
_atom_site_fract_x
_atom_site_fract_y
_atom_site_fract_z
K1 0.250 0.250 0.250
Ru1 0.750 0.750 0.750
Cr1 0.480 0.480 0.642
Cr2 0.020 0.020 0.858
```



Most stable structure - (i); separation to the second - 0.008 eV/atom.



(i)
A geometry-optimized KCr2Ru structure. Source: the Alexandria database, functional PBE.

Total magnetization (μB per cell): 0.000
Symmetry: Pmmm (47)

The structure in CIF format:
```
data_KCr2Ru
_chemical_formula_sum 'K1 Cr2 Ru1'
_symmetry_space_group_name_H-M 'P 1'
_symmetry_Int_Tables_number 1
_symmetry_space_group_name_Hall 'P 1'
_cell_length_a 2.864
_cell_length_b 3.759
_cell_length_c 7.572
_cell_angle_alpha 90.00
_cell_angle_beta 90.00
_cell_angle_gamma 90.00
loop_
_atom_site_label
_atom_site_fract_x
_atom_site_fract_y
_atom_site_fract_z
Cr1 0.000 0.000 0.881
Cr2 0.000 0.000 0.619
K1 0.500 0.500 0.250
Ru1 0.500 0.500 0.750
```



(ii)
A geometry-optimized KCr2Ru structure. Source: the Alexandria database, functional PBE.

Total magnetization (μB per cell): 6.635
Symmetry: Immm (71)

The structure in CIF format:
```
data_KCr2Ru
_chemical_formula_sum 'K1 Cr2 Ru1'
_symmetry_space_group_name_H-M 'P 1'
_symmetry_Int_Tables_number 1
_symmetry_space_group_name_Hall 'P 1'
_cell_length_a 6.014
_cell_length_b 6.014
_cell_length_c 6.014
_cell_angle_alpha 150.45
_cell_angle_beta 122.98
_cell_angle_gamma 65.52
loop_
_atom_site_label
_atom_site_fract_x
_atom_site_fract_y
_atom_site_fract_z
Ru1 0.250 0.750 0.500
K1 0.750 0.250 0.500
Cr1 0.062 0.062 0.000
Cr2 0.438 0.438 0.000
```



Most stable structure - (i); separation to the second - 0.442 eV/atom.